1.
Below is an optimized crystal structure of NaNdLuTl, with properties calculated at the PBE-GGA level.

It has space group F-43m (No. 216), with a = 7.697 Å, b = 7.697 Å, c = 7.697 Å, α = 90.00°, β = 90.00° and γ = 90.00°. The asymmetric unit holds Na at (0.000, 0.000, 0.000), Nd at (0.250, 0.250, 0.250), Lu at (0.250, 0.250, 0.750) and Tl at (0.000, 0.000, 0.500).

The calculation puts the total magnetization at 0.00 μB per formula unit. For the total energy, the calculation gives -3.2852 eV/atom. The calculation puts the formation energy at -0.04 eV per atom.

2.
Below is an optimized crystal structure of NaLuNi4, with properties calculated at the PBE-GGA level.

It has space group F-43m (No. 216), with a = 7.000 Å, b = 7.000 Å, c = 7.000 Å, α = 90.00°, β = 90.00° and γ = 90.00°. The asymmetric unit holds Na at (0.000, 0.000, 0.000), Lu at (0.250, 0.250, 0.250) and Ni at (0.125, 0.125, 0.625).

The calculation puts the total magnetization at 0.00 μB per formula unit. For the total energy, the calculation gives -5.0111 eV/atom. The calculation puts the formation energy at -0.18 eV per atom.

3.
Below is an optimized crystal structure of NaLuP2O7, with properties calculated at the PBE-GGA level.

It has space group P2_1/c (No. 14), with a = 9.129 Å, b = 5.418 Å, c = 13.970 Å, α = 90.00°, β = 116.28° and γ = 90.00°. The asymmetric unit holds Na at (0.057, 0.229, 0.195), Lu at (0.244, 0.238, 0.977), P at (0.185, 0.723, 0.119), P at (0.322, 0.749, 0.350), O at (0.026, 0.713, 0.626), O at (0.191, 0.052, 0.594), O at (0.219, 0.535, 0.859), O at (0.219, 0.608, 0.545), O at (0.235, 0.502, 0.345), O at (0.330, 0.721, 0.737) and O at (0.498, 0.742, 0.934).

The calculation puts the total magnetization at 0.00 μB per formula unit. For the total energy, the calculation gives -7.3570 eV/atom. For the energy relative to the elements, uncorrected, the calculation gives -259 kJ/mol of atoms.

Here are the calculated DOS(E_F) numbers, same order: 4.1, 6.4, 0.0 (states/eV/f.u.).